The following is a DFT calculation (PBE-GGA) of an optimized crystal structure of SiAsP2.

Cell: 2.597 4.939 5.465 Å, 90.00 90.00 90.00°
Space group Pmm2 (No. 25)
Inequivalent atoms, fractional coordinates:
1 Si 0.000 0.000 0.000
2 As 0.000 0.500 0.511
3 P 0.000 0.000 0.427
4 P 0.000 0.500 0.944

E, eV/atom: -5.02
Formation energy without anion corrections, kJ/mol of formula units: 77
Crystal system: orthorhombic
Offset from the most stable computed form, meV per atom: 100

The following is a DFT calculation (PBE-GGA) of an optimized crystal structure of Te2IrBr.

Cell: 7.023 7.023 7.023 Å, 90.00 90.00 90.00°
Space group Fm-3m (No. 225)
Inequivalent atoms, fractional coordinates:
1 Te 0.250 0.250 0.250
2 Ir 0.000 0.000 0.000
3 Br 0.000 0.000 0.500

E, eV/atom: -3.67
Formation energy without anion corrections, kJ/mol of formula units: 206
Crystal system: cubic
Offset from the most stable computed form, meV per atom: 797

The following is a DFT calculation (PBE-GGA) of an optimized crystal structure of NaInI3.

Cell: 8.412 7.336 16.018 Å, 90.00 112.84 90.00°
Space group P2_1/c (No. 14)
Inequivalent atoms, fractional coordinates:
1 Na 0.185 0.035 0.161
2 In 0.358 0.571 0.428
3 I 0.127 0.185 0.813
4 I 0.135 0.739 0.992
5 I 0.480 0.704 0.822

E, eV/atom: -2.54
Formation energy without anion corrections, kJ/mol of formula units: -384
Crystal system: monoclinic